First-principles (PBE-GGA) data for a relaxed structure of Ho4Tm2Cd, as listed in the Alexandria database.

Values from the calculation:
Calculated formation energy = 1.0 kcal/mol of atoms
DOS(E_F) = 9.85 states/eV/f.u.
Total moment = 0.00 μB/f.u.

abc: 3.4594 8.3960 8.3254
angles: 116.70 101.99 90.00
Closest atoms and distances in Å follow each position.
Fractional coordinates of all 7 atoms:
Tm1 0.7821 0.8594 0.5642  1 Cd 3.18, 6 Ho 3.31-3.52, 4 Tm 3.45-3.46
Cd1 0.0000 0.0000 0.0000  2 Tm 3.18, 6 Ho 3.32-3.47, 2 Cd 3.46
Ho1 0.3680 0.6050 0.7360  8 Ho 3.46-3.83, 2 Cd 3.47, 3 Tm 3.50-3.52
Tm2 0.2179 0.1406 0.4358  1 Cd 3.18, 6 Ho 3.31-3.52, 4 Tm 3.45-3.46
Ho2 0.6320 0.3950 0.2640  8 Ho 3.46-3.83, 2 Cd 3.47, 3 Tm 3.50-3.52
Ho3 0.0815 0.7028 0.1630  5 Ho 3.22-3.51, 3 Tm 3.31-3.38, 1 Cd 3.32
Ho4 0.9185 0.2972 0.8370  5 Ho 3.22-3.51, 3 Tm 3.31-3.38, 1 Cd 3.32

---

First-principles (PBE-GGA) data for a relaxed structure of Ho8Tm6Cd, as listed in the Alexandria database.

Values from the calculation:
Calculated formation energy = 5.3 kcal/mol of atoms
DOS(E_F) = 19.35 states/eV/f.u.
Total moment = 0.00 μB/f.u.

abc: 6.6443 9.0598 9.0598
angles: 120.00 90.00 90.00
Closest atoms and distances in Å follow each position.
Fractional coordinates of all 15 atoms:
Tm1 0.3944 0.5981 0.6793  4 Ho 3.13-3.49, 1 Tm 3.15, 1 Cd 3.41
Tm2 0.6056 0.9188 0.5981  4 Ho 3.13-3.49, 1 Tm 3.15, 1 Cd 3.41
Ho1 0.1832 0.6667 0.3333  3 Ho 3.20
Ho2 0.8852 0.6879 0.6756  4 Tm 3.13-3.49, 3 Ho 3.20-3.26
Ho3 0.8852 0.3244 0.0123  4 Tm 3.13-3.49, 3 Ho 3.20-3.26
Tm3 0.6056 0.6793 0.0812  4 Ho 3.13-3.49, 1 Tm 3.15, 1 Cd 3.41
Ho4 0.1148 0.6756 0.9877  4 Tm 3.13-3.49, 3 Ho 3.20-3.26
Tm4 0.3944 0.3207 0.9188  4 Ho 3.13-3.49, 1 Tm 3.15, 1 Cd 3.41
Ho5 0.8168 0.3333 0.6667  3 Ho 3.20
Ho6 0.8852 0.9877 0.3121  4 Tm 3.13-3.49, 3 Ho 3.20-3.26
Ho7 0.1148 0.0123 0.6879  4 Tm 3.13-3.49, 3 Ho 3.20-3.26
Ho8 0.1148 0.3121 0.3244  4 Tm 3.13-3.49, 3 Ho 3.20-3.26
Tm5 0.6056 0.4019 0.3207  4 Ho 3.13-3.49, 1 Tm 3.15, 1 Cd 3.41
Cd1 0.5000 0.0000 0.0000  6 Tm 3.41
Tm6 0.3944 0.0812 0.4019  4 Ho 3.13-3.49, 1 Tm 3.15, 1 Cd 3.41

---

First-principles (PBE-GGA) data for a relaxed structure of Ho7TmCd4, as listed in the Alexandria database.

Values from the calculation:
Calculated formation energy = 0.4 kcal/mol of atoms
DOS(E_F) = 13.42 states/eV/f.u.
Total moment = 0.00 μB/f.u.

abc: 5.6757 8.9576 7.8366
angles: 69.93 68.77 71.53
Closest atoms and distances in Å follow each position.
Fractional coordinates of all 12 atoms:
Tm1 0.0000 0.0000 0.0000  2 Ho 2.84
Ho1 0.2600 0.6961 0.7838  4 Cd 2.97-3.16
Cd1 0.3189 0.3416 0.0205  5 Ho 2.94-3.16, 1 Cd 3.03
Ho2 0.5000 0.0000 0.0000  2 Tm 2.84, 4 Cd 2.94-3.17
Ho3 0.0716 0.5870 0.2697  3 Cd 3.10-3.19, 2 Ho 3.31-3.43
Ho4 0.7940 0.8813 0.5307  4 Cd 3.34-3.71, 6 Ho 3.44-3.73
Ho5 0.9284 0.4130 0.7303  3 Cd 3.10-3.19, 2 Ho 3.31-3.43
Ho6 0.2060 0.1187 0.4693  4 Cd 3.34-3.71, 6 Ho 3.44-3.73
Cd2 0.5423 0.2891 0.6263  4 Ho 2.97-3.19, 1 Cd 3.03
Cd3 0.6811 0.6584 0.9795  5 Ho 2.94-3.16, 1 Cd 3.03
Ho7 0.7400 0.3039 0.2162  4 Cd 2.97-3.16
Cd4 0.4577 0.7109 0.3737  4 Ho 2.97-3.19, 1 Cd 3.03

---

First-principles (PBE-GGA) data for a relaxed structure of Ho3Tm4Cd2, as listed in the Alexandria database.

Values from the calculation:
Calculated formation energy = -1.7 kcal/mol of atoms
DOS(E_F) = 11.51 states/eV/f.u.
Total moment = 0.00 μB/f.u.

abc: 4.8163 7.6984 7.6251
angles: 107.57 108.41 90.00
Closest atoms and distances in Å follow each position.
Fractional coordinates of all 9 atoms:
Tm1 0.7788 0.6769 0.5576  4 Ho 3.37-3.50, 3 Cd 3.37, 5 Tm 3.41-3.53
Ho1 0.0000 0.0000 0.0000  6 Tm 3.37-3.43, 4 Cd 3.40, 2 Ho 3.43
Cd1 0.6662 0.9992 0.3324  5 Tm 3.37-3.43, 5 Ho 3.38-3.40, 2 Cd 3.42
Tm2 0.4432 0.6648 0.8863  4 Tm 3.41-3.44, 2 Cd 3.43, 6 Ho 3.43-3.44
Cd2 0.3338 0.0008 0.6676  5 Tm 3.37-3.43, 5 Ho 3.38-3.40, 2 Cd 3.42
Ho2 0.1138 0.6708 0.2275  7 Tm 3.38-3.50, 3 Cd 3.38-3.40, 2 Ho 3.43-3.50
Tm3 0.5568 0.3352 0.1137  4 Tm 3.41-3.44, 2 Cd 3.43, 6 Ho 3.43-3.44
Tm4 0.2212 0.3231 0.4424  4 Ho 3.37-3.50, 3 Cd 3.37, 5 Tm 3.41-3.53
Ho3 0.8862 0.3292 0.7725  7 Tm 3.38-3.50, 3 Cd 3.38-3.40, 2 Ho 3.43-3.50

---

First-principles (PBE-GGA) data for a relaxed structure of Ho2TmCd2, as listed in the Alexandria database.

Values from the calculation:
Calculated formation energy = -5.8 kcal/mol of atoms
DOS(E_F) = 4.39 states/eV/f.u.
Total moment = 0.00 μB/f.u.
Offset from the most stable computed form = 0.0000 eV/atom

abc: 3.6951 5.2864 13.7630
angles: 90.00 97.75 90.00
Closest atoms and distances in Å follow each position.
Fractional coordinates of all 10 atoms:
Ho1 0.7643 0.2500 0.5276  2 Cd 3.19, 4 Ho 3.31, 2 Tm 3.55
Cd1 0.3592 0.2500 0.7183  4 Ho 3.19, 4 Tm 3.23
Cd2 0.6408 0.7500 0.2817  4 Ho 3.19, 4 Tm 3.23
Ho2 0.0453 0.7500 0.0908  8 Cd 3.19-3.25
Ho3 0.9547 0.2500 0.9092  8 Cd 3.19-3.25
Cd3 0.5526 0.2500 0.1053  2 Tm 3.22, 6 Ho 3.23-3.25, 2 Cd 3.57
Tm1 0.1497 0.2500 0.2990  6 Cd 3.22-3.23, 2 Ho 3.55
Tm2 0.8503 0.7500 0.7010  6 Cd 3.22-3.23, 2 Ho 3.55
Ho4 0.2357 0.7500 0.4724  2 Cd 3.19, 4 Ho 3.31, 2 Tm 3.55
Cd4 0.4474 0.7500 0.8947  2 Tm 3.22, 6 Ho 3.23-3.25, 2 Cd 3.57

---

First-principles (PBE-GGA) data for a relaxed structure of Ho4TmCd, as listed in the Alexandria database.

Values from the calculation:
Calculated formation energy = -2.0 kcal/mol of atoms
DOS(E_F) = 8.28 states/eV/f.u.
Total moment = 0.00 μB/f.u.
Offset from the most stable computed form = 0.0000 eV/atom

abc: 3.5286 3.5286 14.0804
angles: 90.00 90.00 90.00
Closest atoms and distances in Å follow each position.
Fractional coordinates of all 6 atoms:
Ho1 0.5000 0.5000 0.8248  4 Tm 3.51, 8 Ho 3.52-3.53
Ho2 0.5000 0.5000 0.1752  4 Tm 3.51, 8 Ho 3.52-3.53
Ho3 0.0000 0.0000 0.6486  4 Cd 3.26, 8 Ho 3.52-3.53
Cd1 0.5000 0.5000 0.5000  8 Ho 3.26, 4 Cd 3.53
Ho4 0.0000 0.0000 0.3514  4 Cd 3.26, 8 Ho 3.52-3.53
Tm1 0.0000 0.0000 0.0000  8 Ho 3.51, 4 Tm 3.53

---

Calculated V (Å³/atom), listed in the same order as above: 30.0, 31.5, 28.4, 28.3, 26.6, 29.2
Calculated total DFT energy (no corrections) (eV/atom), listed in the same order as above: -3.981, -4.061, -3.329, -3.791, -3.344, -4.038